Below is a relaxed TbTh2Cd crystal, with properties calculated at the PBE-GGA level.

Lattice parameters (Å, degrees): 3.4890 3.4890 9.9922 90.00 90.00 90.00
Closest atoms and distances in Å follow each position.
Space group P4/mmm (No. 123)
Symmetry-distinct sites (fractional):
Tb  0.0000  0.0000  0.0000 x1  4 Tb 3.49, 8 Th 3.61
Th  0.5000  0.5000  0.2634 x2  4 Cd 3.42, 4 Th 3.49, 4 Tb 3.61
Cd  0.0000  0.0000  0.5000 x1  8 Th 3.42, 4 Cd 3.49

Values from the calculation:
DOS at the Fermi energy ... 4.3 states/eV/cell
M_tot ... 0.00 μB per cell
Formation energy ... 16 meV per atom
Total DFT energy (no corrections) ... -5.0805 eV per atom
Energy above the most stable polymorph in this dataset ... 0.0408 eV/atom